1.
# LiTb2Nd3Te6

A relaxed LiTb2Nd3Te6 crystal (GGA-PBE, Alexandria).

a = 9.895 Å, b = 9.895 Å, c = 8.854 Å
α = 103.26°, β = 103.26°, γ = 25.78°
Fractional coordinates of all 12 atoms:
Li 0.000 0.000 0.000
Tb 0.333 0.333 0.663
Tb 0.667 0.667 0.337
Nd 0.000 0.000 0.500
Nd 0.333 0.333 0.169
Nd 0.667 0.667 0.831
Te 0.160 0.160 0.086
Te 0.168 0.168 0.578
Te 0.498 0.498 0.764
Te 0.502 0.502 0.236
Te 0.832 0.832 0.422
Te 0.840 0.840 0.914

Properties
space group: No. 12
magnetization: 0.000 μB/cell
total energy: -60.747 eV/cell
raw formation energy: -1584.2 kJ/mol of formula units
crystal system: monoclinic

2.
# Li2TbNd2Tl2

A relaxed Li2TbNd2Tl2 crystal (GGA-PBE, Alexandria).

a = 9.544 Å, b = 9.544 Å, c = 9.544 Å
α = 29.60°, β = 29.60°, γ = 29.60°
Fractional coordinates of all 7 atoms:
Li 0.109 0.109 0.109
Li 0.891 0.891 0.891
Tb 0.500 0.500 0.500
Nd 0.374 0.374 0.374
Nd 0.626 0.626 0.626
Tl 0.234 0.234 0.234
Tl 0.766 0.766 0.766

Properties
space group: No. 166
magnetization: 0.001 μB/cell
total energy: -24.092 eV/cell
crystal system: trigonal
formation energy from the elements: -195.1 meV/atom

3.
# LiTb2NdTl4

A relaxed LiTb2NdTl4 crystal (GGA-PBE, Alexandria).

a = 9.464 Å, b = 9.464 Å, c = 9.464 Å
α = 32.42°, β = 32.42°, γ = 32.42°
Fractional coordinates of all 8 atoms:
Li 0.000 0.000 0.000
Tb 0.255 0.255 0.255
Tb 0.745 0.745 0.745
Nd 0.500 0.500 0.500
Tl 0.122 0.122 0.122
Tl 0.372 0.372 0.372
Tl 0.628 0.628 0.628
Tl 0.878 0.878 0.878

Properties
space group: No. 166
magnetization: 0.000 μB/cell
total energy: -28.101 eV/cell
crystal system: trigonal
formation energy from the elements: -336.7 meV/atom